The following is a DFT calculation (PBE) of a relaxed structure of Dy3ZnSi3.

The value obtained for the total moment is 0.00 Bohr magnetons per cell. Its crystal system is orthorhombic. Its formation energy from raw total energies is -0.704 eV per atom. For the calculated total energy, the calculation gives -0.190 hartree per atom.

The space group is Imm2 (No. 44) and the conventional cell measures 3.924, 4.200 and 17.810 Å, with angles of 90.00, 90.00 and 90.00 degrees. The distinct sites, in fractional coordinates, are Dy at (0.000, 0.000, 0.000), Dy at (0.000, 0.000, 0.371), Dy at (0.000, 0.500, 0.690), Zn at (0.000, 0.500, 0.119), Si at (0.000, 0.000, 0.540), Si at (0.000, 0.000, 0.832) and Si at (0.000, 0.500, 0.251).